No. 1
{
  "formula": "AcTc3Ge2",
  "functional": "PBE",
  "state": "relaxed",
  "final_energy_ev_per_cell": -92.95,
  "cell": [[7.985, -2.102, 0.000], [7.985, 2.102, 0.000], [-3.480, 0.000, 7.028]],
  "species": ["Ac", "Ac", "Tc", "Tc", "Tc", "Tc", "Tc", "Tc", "Ge", "Ge", "Ge", "Ge"],
  "fractional_positions": [[0.142, 0.142, 0.056], [0.858, 0.858, 0.944], [0.047, 0.047, 0.406], [0.299, 0.299, 0.523], [0.417, 0.417, 0.367], [0.583, 0.583, 0.633], [0.701, 0.701, 0.477], [0.953, 0.953, 0.594], [0.196, 0.196, 0.704], [0.475, 0.475, 0.802], [0.525, 0.525, 0.198], [0.804, 0.804, 0.296]]
}

No. 2
{
  "formula": "NaNiSbSe3",
  "functional": "PBE",
  "state": "relaxed",
  "final_energy_ev_per_cell": -47.27,
  "cell": [[1.997, -6.524, 0.000], [1.997, 6.524, 0.000], [0.000, 0.000, 10.946]],
  "species": ["Na", "Na", "Ni", "Ni", "Sb", "Sb", "Se", "Se", "Se", "Se", "Se", "Se"],
  "fractional_positions": [[0.247, 0.753, 0.750], [0.753, 0.247, 0.250], [0.470, 0.530, 0.250], [0.530, 0.470, 0.750], [0.000, 0.000, 0.000], [0.000, 0.000, 0.500], [0.072, 0.928, 0.250], [0.358, 0.642, 0.075], [0.358, 0.642, 0.425], [0.642, 0.358, 0.575], [0.642, 0.358, 0.925], [0.928, 0.072, 0.750]]
}

No. 3
{
  "formula": "Y2InAg",
  "functional": "PBE",
  "state": "relaxed",
  "final_energy_ev_per_cell": -38.23,
  "cell": [[4.854, 0.000, 0.000], [-2.427, 4.203, 0.000], [0.000, 0.000, 10.318]],
  "species": ["Y", "Y", "Y", "Y", "In", "In", "Ag", "Ag"],
  "fractional_positions": [[0.333, 0.667, 0.095], [0.333, 0.667, 0.405], [0.667, 0.333, 0.595], [0.667, 0.333, 0.905], [0.000, 0.000, 0.250], [0.000, 0.000, 0.750], [0.333, 0.667, 0.750], [0.667, 0.333, 0.250]]
}

No. 4
{
  "formula": "LuZnInCu",
  "functional": "PBE",
  "state": "relaxed",
  "final_energy_ev_per_cell": -13.39,
  "relative_energy_kj_per_mol_atoms": 0.0,
  "cell": [[0.000, 3.323, 3.323], [3.323, 0.000, 3.323], [3.323, 3.323, 0.000]],
  "species": ["Lu", "Zn", "In", "Cu"],
  "fractional_positions": [[0.000, 0.000, 0.000], [0.250, 0.250, 0.250], [0.500, 0.500, 0.500], [0.750, 0.750, 0.750]]
}

No. 5
{
  "formula": "TlCuNiAu",
  "functional": "PBE",
  "state": "relaxed",
  "final_energy_ev_per_cell": -14.33,
  "relative_energy_kj_per_mol_atoms": 0.0,
  "cell": [[0.000, 3.166, 3.166], [3.166, 0.000, 3.166], [3.166, 3.166, 0.000]],
  "species": ["Tl", "Cu", "Ni", "Au"],
  "fractional_positions": [[0.000, 0.000, 0.000], [0.250, 0.250, 0.250], [0.750, 0.750, 0.750], [0.500, 0.500, 0.500]]
}

No. 6
{
  "formula": "ZnSb",
  "functional": "PBE",
  "state": "relaxed",
  "final_energy_ev_per_cell": -40.64,
  "cell": [[5.382, 0.000, 0.000], [0.000, 6.500, 0.000], [0.000, 0.000, 10.185]],
  "species": ["Zn", "Zn", "Zn", "Zn", "Zn", "Zn", "Zn", "Zn", "Sb", "Sb", "Sb", "Sb", "Sb", "Sb", "Sb", "Sb"],
  "fractional_positions": [[0.250, 0.055, 0.063], [0.250, 0.250, 0.310], [0.250, 0.250, 0.829], [0.250, 0.445, 0.063], [0.750, 0.555, 0.937], [0.750, 0.750, 0.171], [0.750, 0.750, 0.690], [0.750, 0.945, 0.937], [0.250, 0.514, 0.573], [0.250, 0.750, 0.250], [0.250, 0.750, 0.868], [0.250, 0.986, 0.573], [0.750, 0.014, 0.427], [0.750, 0.250, 0.132], [0.750, 0.250, 0.750], [0.750, 0.486, 0.427]]
}

No. 7
{
  "formula": "HfSe2",
  "functional": "PBE",
  "state": "relaxed",
  "final_energy_ev_per_cell": -30.74,
  "cell": [[0.000, 3.951, 3.951], [3.951, 0.000, 3.951], [3.951, 3.951, 0.000]],
  "species": ["Hf", "Hf", "Se", "Se", "Se", "Se"],
  "fractional_positions": [[0.125, 0.125, 0.125], [0.875, 0.875, 0.875], [0.000, 0.500, 0.500], [0.500, 0.000, 0.500], [0.500, 0.500, 0.000], [0.500, 0.500, 0.500]]
}

No. 8
{
  "formula": "TbSnTe2AuS",
  "functional": "PBE",
  "state": "relaxed",
  "final_energy_ev_per_cell": -53.37,
  "cell": [[2.133, -7.305, 0.000], [2.133, 7.305, 0.000], [0.000, 0.000, 10.286]],
  "species": ["Tb", "Tb", "Sn", "Sn", "Te", "Te", "Te", "Te", "Au", "Au", "S", "S"],
  "fractional_positions": [[0.000, 0.000, 0.000], [0.000, 0.000, 0.500], [0.274, 0.726, 0.750], [0.726, 0.274, 0.250], [0.347, 0.653, 0.059], [0.347, 0.653, 0.441], [0.653, 0.347, 0.559], [0.653, 0.347, 0.941], [0.480, 0.520, 0.250], [0.520, 0.480, 0.750], [0.083, 0.917, 0.250], [0.917, 0.083, 0.750]]
}